(1)
VASP calculation (PBE-GGA) on Np3In5Te12 after structural relaxation.

The space group is Ia-3d (No. 230) and the conventional cell measures 17.8090, 17.8090 and 17.8090 Å, with angles of 90.00, 90.00 and 90.00 degrees. The distinct sites, in fractional coordinates, are Np at (0.0000, 0.2500, 0.1250), In at (0.0000, 0.0000, 0.0000), In at (0.0000, 0.2500, 0.3750) and Te at (0.0199, 0.0683, 0.6533).

For the total magnetic moment, the calculation gives 11.169 μB/f.u. For the raw formation energy, the calculation gives -0.366 eV/atom. The value obtained for the final energy is -4.8772 eV per atom.



(2)
VASP calculation (PBE-GGA) on AlAgI2 after structural relaxation.

The space group is Fm-3m (No. 225) and the conventional cell measures 7.7537, 7.7537 and 7.7537 Å, with angles of 90.00, 90.00 and 90.00 degrees. The distinct sites, in fractional coordinates, are Al at (0.0000, 0.0000, 0.0000), Ag at (0.0000, 0.0000, 0.5000) and I at (0.2500, 0.2500, 0.2500).

The value obtained for the energy above the most stable polymorph in this dataset is 131 meV per atom. For the total magnetic moment, the calculation gives 0.000 μB/f.u. For the raw formation energy, the calculation gives 0.107 eV/atom. The value obtained for the final energy is -2.3164 eV per atom.



(3)
VASP calculation (PBE-GGA) on ErPu2Ir9 after structural relaxation.

The space group is R-3m (No. 166, hexagonal axes) and the conventional cell measures 5.2886, 5.2886 and 26.3738 Å, with angles of 90.00, 90.00 and 120.00 degrees. The distinct sites, in fractional coordinates, are Er at (0.0000, 0.0000, 0.0000), Pu at (0.0000, 0.0000, 0.1397), Ir at (0.0000, 0.0000, 0.3331), Ir at (0.0000, 0.0000, 0.5000) and Ir at (0.0020, 0.5010, 0.9172).

For the total magnetic moment, the calculation gives 8.146 μB/f.u. The energy of formation comes out at -0.458 eV/atom. The value obtained for the final energy is -9.8726 eV per atom.



(4)
VASP calculation (PBE-GGA) on Cs2NdYS4 after structural relaxation.

The space group is P2/m (No. 10) and the conventional cell measures 7.2453, 4.1834 and 8.4387 Å, with angles of 90.00, 106.64 and 90.00 degrees. The distinct sites, in fractional coordinates, are Cs at (0.0000, 0.0000, 0.0000), Cs at (0.5000, 0.5000, 0.0000), Nd at (0.0000, 0.5000, 0.5000), Y at (0.5000, 0.0000, 0.5000), S at (0.2358, 0.0000, 0.6855) and S at (0.2792, 0.5000, 0.3171).

For the total magnetic moment, the calculation gives 0.000 μB/f.u. For the raw formation energy, the calculation gives -1.820 eV/atom. The value obtained for the final energy is -5.5010 eV per atom.



(5)
VASP calculation (PBE-GGA) on GeSbS after structural relaxation.

The space group is I4mm (No. 107) and the conventional cell measures 2.8253, 2.8253 and 18.5987 Å, with angles of 90.00, 90.00 and 90.00 degrees. The distinct sites, in fractional coordinates, are Ge at (0.0000, 0.0000, 0.0000), Sb at (0.0000, 0.0000, 0.1768) and S at (0.0000, 0.0000, 0.8718).

The value obtained for the energy above the most stable polymorph in this dataset is 466 meV per atom. For the total magnetic moment, the calculation gives 0.000 μB/f.u. For the raw formation energy, the calculation gives 0.371 eV/atom. The value obtained for the final energy is -3.9180 eV per atom.



(6)
VASP calculation (PBE-GGA) on Tl4SnS3 after structural relaxation.

The space group is Cc (No. 9) and the conventional cell measures 13.9495, 7.3104 and 12.0811 Å, with angles of 90.00, 122.72 and 90.00 degrees. The distinct sites, in fractional coordinates, are Tl at (0.0000, 0.0308, 0.0000), Tl at (0.1261, 0.4333, 0.7374), Tl at (0.1595, 0.0584, 0.3501), Tl at (0.3979, 0.0836, 0.7777), Sn at (0.3388, 0.4719, 0.1291), S at (0.1496, 0.3630, 0.5034), S at (0.3009, 0.2792, 0.2789) and S at (0.3347, 0.2351, 0.9687).

The value obtained for the energy above the most stable polymorph in this dataset is 23 meV per atom. For the total magnetic moment, the calculation gives 0.000 μB/f.u. For the raw formation energy, the calculation gives -0.314 eV/atom. The value obtained for the final energy is -3.5452 eV per atom.



(7)
VASP calculation (PBE-GGA) on Dy6MgCd after structural relaxation.

The space group is P-1 (No. 2) and the conventional cell measures 6.1652, 6.1691 and 6.1753 Å, with angles of 90.42, 90.24 and 90.58 degrees. The distinct sites, in fractional coordinates, are Dy at (0.0212, 0.2489, 0.0221), Dy at (0.2513, 0.9791, 0.4761), Dy at (0.4783, 0.4785, 0.7512), Mg at (0.0000, 0.5000, 0.5000) and Cd at (0.5000, 0.0000, 0.0000).

The value obtained for the energy above the most stable polymorph in this dataset is 109 meV per atom. For the total magnetic moment, the calculation gives 0.000 μB/f.u. The energy of formation comes out at 0.020 eV/atom. The value obtained for the final energy is -3.7450 eV per atom.



(8)
VASP calculation (PBE-GGA) on Tb2HoTe2 after structural relaxation.

The space group is C2/m (No. 12) and the conventional cell measures 7.2754, 5.9597 and 7.1720 Å, with angles of 90.00, 103.38 and 90.00 degrees. The distinct sites, in fractional coordinates, are Tb at (0.0000, 0.2473, 0.0000), Ho at (0.0000, 0.0000, 0.5000) and Te at (0.1784, 0.5000, 0.7018).

For the total magnetic moment, the calculation gives 0.000 μB/f.u. For the raw formation energy, the calculation gives -0.699 eV/atom. The value obtained for the final energy is -4.7235 eV per atom.



Which value of total magnetic moment does entry 7 give?
0.000 μB/f.u.